Record 1
Material: InRe
Method: DFT, PBE
State: relaxed

Values from the calculation:
- Energy above the lowest structure with this stoichiometry: 73 meV/atom
- Crystal system: tetragonal
- Energy of formation: 0.27 eV per atom

Cell: 3.036 3.036 8.399 Å, 90.00 90.00 90.00°
Space group P4/nmm (No. 129, origin choice 2)
Symmetry-distinct sites (fractional):
In 0.250 0.250 0.164 x2
Re 0.250 0.250 0.585 x2

***

Record 2
Material: InRe
Method: DFT, PBE
State: relaxed

Values from the calculation:
- Energy above the lowest structure with this stoichiometry: 1713 meV/atom
- Crystal system: hexagonal
- Energy of formation: 1.91 eV per atom

Cell: 4.6970 4.6970 5.3823 Å, 90.00 90.00 120.00°
Space group P6_3/mmc (No. 194)
Symmetry-distinct sites (fractional):
In 0.3333 0.6667 0.2500 x2
Re 0.3333 0.6667 0.7500 x2

***

Record 3
Material: InRe
Method: DFT, PBE
State: relaxed

Values from the calculation:
- Energy above the lowest structure with this stoichiometry: 406 meV/atom
- Crystal system: orthorhombic
- Energy of formation: 0.60 eV per atom

Cell: 4.690 8.781 5.208 Å, 90.00 90.00 90.00°
Space group Amm2 (No. 38)
Symmetry-distinct sites (fractional):
In 0.000 0.000 0.000 x2
In 0.500 0.179 0.184 x4
Re 0.000 0.150 0.515 x4
Re 0.500 0.000 0.647 x2

***

Record 4
Material: InRe
Method: DFT, PBE
State: relaxed

Values from the calculation:
- Energy above the lowest structure with this stoichiometry: 589 meV/atom
- Crystal system: cubic
- Energy of formation: 0.79 eV per atom

Cell: 6.563 6.563 6.563 Å, 90.00 90.00 90.00°
Space group Fd-3m (No. 227, origin choice 2)
Symmetry-distinct sites (fractional):
In 0.125 0.125 0.125 x8
Re 0.125 0.125 0.625 x8

***

Record 5
Material: InRe
Method: DFT, PBE
State: relaxed

Values from the calculation:
- Energy above the lowest structure with this stoichiometry: 354 meV/atom
- Crystal system: monoclinic
- Energy of formation: 0.55 eV per atom

Cell: 3.155 4.357 5.659 Å, 90.00 106.00 90.00°
Space group P2_1/m (No. 11)
Symmetry-distinct sites (fractional):
In 0.172 0.250 0.345 x2
Re 0.443 0.250 0.887 x2

***

Record 6
Material: In5Re
Method: DFT, PBE
State: relaxed

Values from the calculation:
- Energy above the lowest structure with this stoichiometry: 0 meV/atom
- Crystal system: monoclinic
- Energy of formation: 0.33 eV per atom

Cell: 10.577 2.999 9.510 Å, 90.00 104.04 90.00°
Space group Cm (No. 8)
Symmetry-distinct sites (fractional):
In 0.000 0.000 0.000 x2
In 0.080 0.500 0.332 x2
In 0.173 0.500 0.746 x2
In 0.288 0.000 0.155 x2
In 0.373 0.500 0.490 x2
Re 0.405 0.000 0.746 x2

***

Record 7
Material: In5Re
Method: DFT, PBE
State: relaxed

Values from the calculation:
- Energy above the lowest structure with this stoichiometry: 177 meV/atom
- Crystal system: orthorhombic
- Energy of formation: 0.51 eV per atom

Cell: 4.373 13.940 4.398 Å, 90.00 90.00 90.00°
Space group Cmmm (No. 65)
Symmetry-distinct sites (fractional):
In 0.000 0.000 0.000 x2
In 0.000 0.150 0.500 x4
In 0.000 0.342 0.000 x4
Re 0.000 0.500 0.500 x2

***

Record 8
Material: In3Re2
Method: DFT, PBE
State: relaxed

Values from the calculation:
- Energy above the lowest structure with this stoichiometry: 0 meV/atom
- Crystal system: orthorhombic
- Energy of formation: 0.41 eV per atom

Cell: 12.691 20.863 3.106 Å, 90.00 90.00 90.00°
Space group Fdd2 (No. 43)
Symmetry-distinct sites (fractional):
In 0.000 0.000 0.000 x8
In 0.070 0.138 0.722 x16
Re 0.065 0.277 0.743 x16

***

Record 9
Material: InRe2
Method: DFT, PBE
State: relaxed

Values from the calculation:
- Crystal system: monoclinic
- Energy of formation: 0.33 eV per atom

Cell: 10.452 2.886 7.187 Å, 90.00 109.37 90.00°
Space group C2/m (No. 12)
Symmetry-distinct sites (fractional):
In 0.170 0.000 0.135 x4
Re 0.041 0.500 0.769 x4
Re 0.131 0.000 0.525 x4

***

Record 10
Material: InRe2
Method: DFT, PBE
State: relaxed

Values from the calculation:
- Crystal system: trigonal
- Energy of formation: 0.33 eV per atom

Cell: 2.8825 2.8825 6.9902 Å, 90.00 90.00 120.00°
Space group P-3m1 (No. 164)
Symmetry-distinct sites (fractional):
In 0.0000 0.0000 0.0000 x1
Re 0.3333 0.6667 0.3540 x2

***

Record 11
Material: In5Re
Method: DFT, PBE
State: relaxed

Values from the calculation:
- Energy above the lowest structure with this stoichiometry: 510 meV/atom
- Crystal system: cubic
- Energy of formation: 0.84 eV per atom

Cell: 8.224 8.224 8.224 Å, 90.00 90.00 90.00°
Space group F-43m (No. 216)
Symmetry-distinct sites (fractional):
In 0.000 0.000 0.000 x4
In 0.124 0.124 0.624 x16
Re 0.250 0.250 0.250 x4

***

Record 12
Material: InRe
Method: DFT, PBE
State: relaxed

Values from the calculation:
- Energy above the lowest structure with this stoichiometry: 1179 meV/atom
- Crystal system: cubic
- Energy of formation: 1.38 eV per atom

Cell: 8.398 8.398 8.398 Å, 90.00 90.00 90.00°
Space group I-43m (No. 217)
Symmetry-distinct sites (fractional):
In 0.207 0.207 0.207 x8
Re 0.105 0.105 0.895 x8

***

Record 13
Material: InRe
Method: DFT, PBE
State: relaxed

Values from the calculation:
- Energy above the lowest structure with this stoichiometry: 665 meV/atom
- Crystal system: tetragonal
- Energy of formation: 0.86 eV per atom

Cell: 2.874 2.874 4.302 Å, 90.00 90.00 90.00°
Space group P4/mmm (No. 123)
Symmetry-distinct sites (fractional):
In 0.000 0.000 0.000 x1
Re 0.500 0.500 0.500 x1

***

Record 14
Material: InRe2
Method: DFT, PBE
State: relaxed

Values from the calculation:
- Crystal system: orthorhombic
- Energy of formation: 0.37 eV per atom

Cell: 2.884 14.956 4.663 Å, 90.00 90.00 90.00°
Space group Cmcm (No. 63)
Symmetry-distinct sites (fractional):
In 0.000 0.217 0.250 x4
Re 0.000 0.100 0.750 x4
Re 0.000 0.452 0.750 x4

***

Record 15
Material: InRe
Method: DFT, PBE
State: relaxed

Values from the calculation:
- Energy above the lowest structure with this stoichiometry: 255 meV/atom
- Crystal system: monoclinic
- Energy of formation: 0.45 eV per atom

Cell: 11.178 2.971 7.388 Å, 90.00 114.18 90.00°
Space group Cm (No. 8)
Symmetry-distinct sites (fractional):
In 0.000 0.000 0.000 x2
In 0.109 0.500 0.393 x2
In 0.291 0.000 0.143 x2
Re 0.102 0.500 0.762 x2
Re 0.297 0.000 0.725 x2
Re 0.401 0.500 0.523 x2

***

Record 16
Material: InRe
Method: DFT, PBE
State: relaxed

Values from the calculation:
- Energy above the lowest structure with this stoichiometry: 432 meV/atom
- Crystal system: orthorhombic
- Energy of formation: 0.63 eV per atom

Cell: 2.984 4.742 4.965 Å, 90.00 90.00 90.00°
Space group Pmmn (No. 59, origin choice 2)
Symmetry-distinct sites (fractional):
In 0.250 0.250 0.089 x2
Re 0.250 0.750 0.419 x2

***

Record 17
Material: InRe5
Method: DFT, PBE
State: relaxed

Values from the calculation:
- Energy above the lowest structure with this stoichiometry: 3 meV/atom
- Crystal system: orthorhombic
- Energy of formation: 0.26 eV per atom

Cell: 4.524 2.827 14.744 Å, 90.00 90.00 90.00°
Space group Amm2 (No. 38)
Symmetry-distinct sites (fractional):
In 0.000 0.000 0.000 x2
Re 0.000 0.000 0.326 x2
Re 0.000 0.000 0.671 x2
Re 0.500 0.000 0.226 x2
Re 0.500 0.000 0.565 x2
Re 0.500 0.000 0.887 x2

***

Record 18
Material: InRe
Method: DFT, PBE
State: relaxed

Values from the calculation:
- Energy above the lowest structure with this stoichiometry: 429 meV/atom
- Crystal system: orthorhombic
- Energy of formation: 0.63 eV per atom

Cell: 5.081 8.146 14.876 Å, 90.00 90.00 90.00°
Space group Fddd (No. 70, origin choice 2)
Symmetry-distinct sites (fractional):
In 0.125 0.292 0.125 x16
Re 0.125 0.125 0.541 x16

***

Record 19
Material: InRe2
Method: DFT, PBE
State: relaxed

Values from the calculation:
- Crystal system: orthorhombic
- Energy of formation: 0.55 eV per atom

Cell: 5.635 4.205 8.816 Å, 90.00 90.00 90.00°
Space group Pnma (No. 62)
Symmetry-distinct sites (fractional):
In 0.118 0.250 0.092 x4
Re 0.067 0.250 0.708 x4
Re 0.120 0.250 0.419 x4

***

Record 20
Material: InRe
Method: DFT, PBE
State: relaxed

Values from the calculation:
- Energy above the lowest structure with this stoichiometry: 0 meV/atom
- Crystal system: orthorhombic
- Energy of formation: 0.20 eV per atom

Cell: 3.031 16.840 3.013 Å, 90.00 90.00 90.00°
Space group Cmcm (No. 63)
Symmetry-distinct sites (fractional):
In 0.000 0.082 0.250 x4
Re 0.000 0.293 0.250 x4